# PBE-GGA KYSi2, optimized geometry
# Fermi-level density of states: 4.0 states/eV/f.u.
# formation energy (no corrections): 0.53 eV per atom
# E_tot: -16.3 eV per cell
# calculated volume: 95.4 Å³ per cell
# E above lowest polymorph: 781.0 meV per atom
data_KYSi2
_space_group_name_H-M_alt 'P 1'
_space_group_IT_number 1
_space_group_name_Hall 'P 1'
_cell_length_a 5.129
_cell_length_b 5.129
_cell_length_c 5.129
_cell_angle_alpha 60.00
_cell_angle_beta 60.00
_cell_angle_gamma 60.00
loop_
_atom_site_label
_atom_site_type_symbol
_atom_site_fract_x
_atom_site_fract_y
_atom_site_fract_z
K1 K 0.000 0.000 0.000
Y1 Y 0.750 0.750 0.750
Si1 Si 0.250 0.250 0.250
Si2 Si 0.500 0.500 0.500